First-principles (PBE) data for K2BaLa after structural relaxation, as listed in Alexandria.

M_tot ... 0.00 μB/atom
Raw total energy ... -1.938 eV/atom
E above lowest polymorph ... 0.1170 eV/atom

Unit cell a=4.1744 b=6.9655 c=15.0815 alpha=90.00 beta=90.00 gamma=90.00
Space group Immm (No. 71)
Inequivalent atoms, fractional coordinates:
K 0.0000 0.0000 0.2444 (multiplicity 4)
Ba 0.0000 0.5000 0.0000 (multiplicity 2)
La 0.0000 0.5000 0.5000 (multiplicity 2)

First-principles (PBE) data for K2BaLa after structural relaxation, as listed in Alexandria.

M_tot ... 0.00 μB/atom
Raw total energy ... -2.055 eV/atom
E above lowest polymorph ... 0.0000 eV/atom

Unit cell a=4.5881 b=6.6828 c=14.6005 alpha=90.00 beta=90.00 gamma=90.00
Space group Cmm2 (No. 35)
Inequivalent atoms, fractional coordinates:
K 0.0000 0.0000 0.0000 (multiplicity 2)
K 0.0000 0.5000 0.2758 (multiplicity 2)
Ba 0.0000 0.0000 0.5413 (multiplicity 2)
La 0.0000 0.5000 0.7580 (multiplicity 2)

First-principles (PBE) data for K2BaLa after structural relaxation, as listed in Alexandria.

M_tot ... 0.45 μB/atom
Raw total energy ... -1.870 eV/atom
E above lowest polymorph ... 0.1851 eV/atom

Unit cell a=4.2416 b=7.4723 c=14.2928 alpha=90.00 beta=90.00 gamma=90.00
Space group Imm2 (No. 44)
Inequivalent atoms, fractional coordinates:
K 0.0000 0.0000 0.0000 (multiplicity 2)
K 0.0000 0.5000 0.2551 (multiplicity 2)
Ba 0.0000 0.5000 0.7662 (multiplicity 2)
La 0.0000 0.0000 0.4998 (multiplicity 2)

First-principles (PBE) data for K2BaLa after structural relaxation, as listed in Alexandria.

M_tot ... 0.16 μB/atom
Raw total energy ... -1.869 eV/atom
E above lowest polymorph ... 0.1854 eV/atom

Unit cell a=5.5450 b=5.5450 c=14.4618 alpha=90.00 beta=90.00 gamma=90.00
Space group I4/mmm (No. 139)
Inequivalent atoms, fractional coordinates:
K 0.0000 0.5000 0.2500 (multiplicity 4)
Ba 0.0000 0.0000 0.0000 (multiplicity 2)
La 0.0000 0.0000 0.5000 (multiplicity 2)

First-principles (PBE) data for K2BaLa after structural relaxation, as listed in Alexandria.

M_tot ... 0.19 μB/atom
Raw total energy ... -1.869 eV/atom
E above lowest polymorph ... 0.1861 eV/atom

Unit cell a=5.5350 b=5.5350 c=7.2419 alpha=90.00 beta=90.00 gamma=90.00
Space group P4/mmm (No. 123)
Inequivalent atoms, fractional coordinates:
K 0.0000 0.5000 0.0000 (multiplicity 2)
Ba 0.0000 0.0000 0.5000 (multiplicity 1)
La 0.5000 0.5000 0.5000 (multiplicity 1)

First-principles (PBE) data for K2BaLa after structural relaxation, as listed in Alexandria.

M_tot ... 0.00 μB/atom
Raw total energy ... -1.952 eV/atom
E above lowest polymorph ... 0.1026 eV/atom

Unit cell a=4.0561 b=5.9985 c=9.2372 alpha=90.00 beta=90.00 gamma=90.00
Space group Pmm2 (No. 25)
Inequivalent atoms, fractional coordinates:
K 0.0000 0.0000 0.0000 (multiplicity 1)
K 0.5000 0.5000 0.2635 (multiplicity 1)
Ba 0.5000 0.5000 0.7189 (multiplicity 1)
La 0.0000 0.0000 0.5179 (multiplicity 1)

First-principles (PBE) data for K2BaLa after structural relaxation, as listed in Alexandria.

M_tot ... 0.35 μB/atom
Raw total energy ... -2.046 eV/atom
E above lowest polymorph ... 0.0083 eV/atom

Unit cell a=4.0880 b=4.0880 c=13.6852 alpha=90.00 beta=90.00 gamma=90.00
Space group P4mm (No. 99)
Inequivalent atoms, fractional coordinates:
K 0.0000 0.0000 0.0000 (multiplicity 1)
K 0.5000 0.5000 0.2831 (multiplicity 1)
Ba 0.5000 0.5000 0.7299 (multiplicity 1)
La 0.0000 0.0000 0.5258 (multiplicity 1)

First-principles (PBE) data for K2BaLa after structural relaxation, as listed in Alexandria.

M_tot ... 0.19 μB/atom
Raw total energy ... -1.965 eV/atom
E above lowest polymorph ... 0.0895 eV/atom

Unit cell a=4.0818 b=4.0818 c=45.5792 alpha=90.00 beta=90.00 gamma=120.00
Space group R-3m (No. 166, hexagonal axes)
Inequivalent atoms, fractional coordinates:
K 0.0000 0.0000 0.2461 (multiplicity 6)
Ba 0.0000 0.0000 0.0000 (multiplicity 3)
La 0.0000 0.0000 0.5000 (multiplicity 3)